Computed, not measured: a geometry-optimized LiMoP4O13 structure at the GGA-PBEsol level of DFT.

Cell lengths 5.143, 7.840, 13.882 Å; angles 83.47, 87.84, 80.73 degrees
Site moments in Bohr magnetons follow the coordinates.
Fractional positions:
P1 0.360 0.568 0.818  0.00
P2 0.021 0.101 0.847  0.01
P3 0.691 0.326 0.706  0.00
P4 0.855 0.245 0.361  0.01
P5 0.968 0.888 0.155  0.01
P6 0.299 0.673 0.296  0.01
P7 0.133 0.755 0.635  0.01
P8 0.627 0.434 0.178  0.00
Mo1 0.412 0.069 0.258  0.89
Mo2 0.579 0.929 0.738  0.78
O1 0.462 0.617 0.200  0.00
O2 0.677 0.973 0.170  -0.01
O3 0.577 0.167 0.678  0.02
O4 0.857 0.960 0.822  0.02
O5 0.164 0.615 0.730  0.01
O6 0.766 0.458 0.085  0.00
O7 0.415 0.832 0.322  0.02
O8 0.432 0.302 0.189  0.02
O9 0.516 0.382 0.800  0.00
O10 0.015 0.747 0.252  0.01
O11 0.564 0.695 0.804  0.01
O12 0.969 0.251 0.753  0.01
O13 0.300 0.897 0.654  0.02
O14 0.020 0.800 0.067  0.00
O15 0.838 0.841 0.646  -0.01
O16 0.965 0.170 0.940  0.00
O17 0.694 0.471 0.629  0.00
O18 0.314 0.021 0.827  -0.01
O19 0.795 0.325 0.451  0.00
O20 0.302 0.527 0.372  0.00
O21 0.150 0.159 0.347  -0.01
O22 0.139 0.028 0.171  0.02
O23 0.219 0.557 0.911  0.00
O24 0.824 0.387 0.266  0.01
O25 0.689 0.104 0.342  0.02
O26 0.201 0.674 0.545  0.00
Li1 0.500 0.499 0.500  0.00
Li2 0.983 0.597 0.012  0.00

Properties
Calculated total energy, eV for the cell shown: -289.189
Density, g cm⁻³: 2.6